[1]
Cr2CdBr | the Alexandria database | GGA-PBE | optimized geometry; crystal system = tetragonal; energy above the lowest structure with this stoichiometry = 0.405 eV/atom; E_form (uncorrected) = 0.6514 eV per atom; total magnetic moment = 9.02 μB per formula unit
1.0
-2.1584 -5.6613 0.9159
2.3412 -5.1023 -2.4561
1.6170 5.0915 3.0016
Br Cd Cr
1 1 2
direct
0.5000 0.5000 0.0000
0.7500 0.2500 0.5000
0.0000 0.0000 0.0000
0.2500 0.7500 0.5000



[2]
BeMo2Os | the Alexandria database | GGA-PBE | optimized geometry; ΔH_f (0 K) = 59 meV/atom; crystal system = tetragonal; total magnetic moment = 0.00 μB per formula unit
1.0
2.7672 0.0000 0.0000
0.0000 2.7672 0.0000
0.0000 0.0000 7.1822
Be Mo Os
1 2 1
direct
0.5000 0.5000 0.7500
0.0000 0.0000 0.9816
0.0000 0.0000 0.5184
0.5000 0.5000 0.2500



[3]
Y2UAs3 | the Alexandria database | GGA-PBE | optimized geometry; ΔH_f (0 K) = -1281 meV/atom; crystal system = tetragonal; total magnetic moment = 2.43 μB per formula unit
1.0
4.0103 -0.0006 -0.9137
-0.2082 4.0048 -0.9142
-0.0219 -0.0218 9.1608
Y U As
2 1 3
direct
0.1020 0.1033 0.2095
0.7665 0.7678 0.5384
0.4341 0.4359 0.8740
0.9341 0.9359 0.8740
0.2693 0.2706 0.5439
0.5993 0.6006 0.2040



[4]
TmIn2Ge | the Alexandria database | GGA-PBE | optimized geometry; ΔH_f (0 K) = -359 meV/atom; crystal system = tetragonal; energy above the lowest structure with this stoichiometry = 0.000 eV/atom; total magnetic moment = 0.00 μB per formula unit
1.0
-1.2176 4.5575 1.3652
-2.6671 -1.6082 2.9900
3.2219 -0.0001 2.8739
Ge Tm In
1 1 2
direct
0.5000 0.0000 0.0000
0.5000 0.5000 0.5000
0.0000 0.0000 0.5000
0.0000 0.5000 0.0000



[5]
NaBi2PtRh | the Alexandria database | GGA-PBE | optimized geometry; ΔH_f (0 K) = 309 meV/atom; crystal system = tetragonal; total magnetic moment = 0.41 μB per formula unit
1.0
-2.4266 4.3208 -1.5180
-4.5904 -2.1525 1.2111
0.3770 1.9006 4.8071
Na Rh Bi Pt
1 1 2 1
direct
0.5000 0.5000 0.5000
0.0000 0.0000 0.0000
0.0000 0.0000 0.5000
0.5000 0.0000 0.0000
0.0000 0.5000 0.0000



[6]
CuH2Se2 | the Alexandria database | GGA-PBE | optimized geometry; crystal system = triclinic; energy above the lowest structure with this stoichiometry = 0.000 eV/atom; total magnetic moment = 0.00 μB per formula unit
1.0
3.5573 0.2816 0.6529
1.1573 3.6433 2.2668
-1.2715 -0.1615 6.7747
Cu H Se
1 2 2
direct
0.0000 0.0000 0.0000
0.6904 0.6199 0.8334
0.3096 0.3801 0.1666
0.4777 0.0399 0.7432
0.5223 0.9601 0.2568



[7]
K3FeRh2S6 | the Alexandria database | GGA-PBE | optimized geometry; crystal system = monoclinic; E_form (uncorrected) = -0.6954 eV per atom; total magnetic moment = 1.00 μB per formula unit
1.0
-4.5420 -3.7889 -2.3632
2.0713 -0.8482 5.9633
-3.9317 5.8358 1.0617
K Fe Rh S
3 1 2 6
direct
0.1701 0.8299 0.5000
0.8299 0.1701 0.5000
0.5000 0.5000 0.5000
0.0000 0.0000 0.0000
0.3334 0.6666 0.0000
0.6666 0.3334 0.0000
0.9453 0.6208 0.8357
0.7305 0.7305 0.1653
0.0547 0.3792 0.1643
0.6208 0.9453 0.8357
0.2695 0.2695 0.8347
0.3792 0.0547 0.1643



[8]
Tb2RuO | the Alexandria database | GGA-PBE | optimized geometry; crystal system = tetragonal; energy above the lowest structure with this stoichiometry = 0.229 eV/atom; E_form (uncorrected) = -1.1872 eV per atom; total magnetic moment = 0.00 μB per formula unit
1.0
-0.8552 1.5997 2.6510
-3.0934 -0.3242 -0.8023
-0.2766 -5.7965 3.4085
Ru Tb O
1 2 1
direct
0.5000 0.5000 0.0000
0.0000 0.0000 0.7365
0.0000 0.0000 0.2635
0.5000 0.5000 0.5000



[9]
LiNdThGa | the Alexandria database | GGA-PBE | optimized geometry; ΔH_f (0 K) = -188 meV/atom; crystal system = cubic; total magnetic moment = 0.00 μB per formula unit
1.0
-4.1767 -3.1131 0.4552
-1.3000 -1.9650 4.6682
-4.2845 1.7161 2.4579
Nd Ga Th Li
1 1 1 1
direct
0.5000 0.5000 0.5000
0.7500 0.7500 0.7500
0.0000 0.0000 0.0000
0.2500 0.2500 0.2500



[10]
LaPmEuPb | the Alexandria database | GGA-PBE | optimized geometry; ΔH_f (0 K) = -204 meV/atom; crystal system = cubic; total magnetic moment = 8.06 μB per formula unit
1.0
5.6916 0.0000 0.0000
2.8458 4.9290 0.0000
2.8458 1.6430 4.6471
Pb Eu La Pm
1 1 1 1
direct
0.2500 0.2500 0.2500
0.7500 0.7500 0.7500
0.0000 0.0000 0.0000
0.5000 0.5000 0.5000



[11]
Dy12Ni2Hg5 | the Alexandria database | GGA-PBE | optimized geometry; ΔH_f (0 K) = -166 meV/atom; crystal system = monoclinic; total magnetic moment = 0.00 μB per formula unit
1.0
-2.2715 -5.5998 -4.3694
3.0510 -2.5920 8.0992
-9.1498 2.5526 1.4853
Dy Ni Hg
12 2 5
direct
0.9933 0.9866 0.1780
0.1005 0.6753 0.9127
0.5749 0.6753 0.9127
0.0972 0.7004 0.4265
0.6032 0.7004 0.4265
0.4985 0.9971 0.7493
0.5015 0.0029 0.2507
0.9028 0.2996 0.5735
0.3968 0.2996 0.5735
0.8995 0.3247 0.0873
0.4251 0.3247 0.0873
0.0067 0.0134 0.8220
0.6885 0.0000 0.0000
0.3115 0.0000 0.0000
0.3031 0.6062 0.6398
0.3094 0.6188 0.1615
0.0000 0.0000 0.5000
0.6906 0.3812 0.8385
0.6969 0.3938 0.3602



[12]
La6Nd3Cd | the Alexandria database | GGA-PBE | optimized geometry; ΔH_f (0 K) = -32 meV/atom; crystal system = monoclinic; energy above the lowest structure with this stoichiometry = 0.000 eV/atom; total magnetic moment = 0.00 μB per formula unit
1.0
-3.6671 -0.8839 -3.6755
1.2139 -11.1972 1.4815
-8.3446 0.6552 8.1678
La Nd Cd
12 6 2
direct
0.2500 0.4512 0.1001
0.7500 0.5488 0.8999
0.2500 0.1553 0.1831
0.7500 0.8447 0.8169
0.2500 0.6538 0.7025
0.7500 0.3462 0.2975
0.2500 0.2316 0.4922
0.7500 0.7684 0.5078
0.2500 0.8664 0.3169
0.7500 0.1336 0.6831
0.2500 0.0435 0.8884
0.7500 0.9565 0.1116
0.2500 0.5510 0.4035
0.7500 0.4490 0.5965
0.2500 0.3445 0.7931
0.7500 0.6555 0.2069
0.2500 0.7543 0.0114
0.7500 0.2457 0.9886
0.2500 0.9429 0.6092
0.7500 0.0571 0.3908



[13]
Co3NiRu | the Alexandria database | GGA-PBE | optimized geometry; ΔH_f (0 K) = 1272 meV/atom; crystal system = cubic; energy above the lowest structure with this stoichiometry = 0.000 eV/atom; total magnetic moment = 8.61 μB per formula unit
1.0
4.1939 0.0000 0.0000
0.0000 4.1939 0.0000
0.0000 0.0000 4.1939
Ru Co Ni
1 3 1
direct
0.5000 0.5000 0.5000
0.0000 0.5000 0.0000
0.0000 0.0000 0.5000
0.5000 0.0000 0.0000
0.0000 0.0000 0.0000



[14]
TbTlF6 | the Alexandria database | GGA-PBE | optimized geometry; crystal system = trigonal; energy above the lowest structure with this stoichiometry = 0.000 eV/atom; E_form (uncorrected) = -2.9574 eV per atom; total magnetic moment = 0.00 μB per formula unit
1.0
-2.1391 5.4328 0.6213
-1.2161 2.0835 5.3537
3.6422 4.3386 2.3610
Tb Tl F
1 1 6
direct
0.0000 0.0000 0.0000
0.5000 0.5000 0.5000
0.1563 0.3458 0.7497
0.7479 0.1563 0.7500
0.6543 0.2521 0.2500
0.2521 0.8437 0.2500
0.8437 0.6542 0.2503
0.3457 0.7479 0.7500



[15]
LaCuOs4 | the Alexandria database | GGA-PBE | optimized geometry; ΔH_f (0 K) = 450 meV/atom; crystal system = cubic; total magnetic moment = 0.01 μB per formula unit
1.0
2.6503 -1.1102 4.4853
3.4185 3.5497 2.0218
-1.1924 2.5786 4.5059
La Cu Os
1 1 4
direct
0.0000 0.0000 0.0000
0.7500 0.7500 0.7500
0.8727 0.3758 0.3758
0.3758 0.3758 0.8727
0.3758 0.8727 0.3758
0.3758 0.3758 0.3758



[16]
Tl2ZnOs | the Alexandria database | GGA-PBE | optimized geometry; ΔH_f (0 K) = 969 meV/atom; crystal system = cubic; energy above the lowest structure with this stoichiometry = 0.437 eV/atom; total magnetic moment = 0.63 μB per formula unit
1.0
-4.0221 -1.5767 2.2389
0.2794 -3.6182 3.2414
-0.6682 0.9158 4.7319
Os Tl Zn
1 2 1
direct
0.5000 0.5000 0.5000
0.0000 0.0000 0.0000
0.2500 0.2500 0.2500
0.7500 0.7500 0.7500



[17]
MgFeRe | the Alexandria database | GGA-PBE | optimized geometry; ΔH_f (0 K) = 255 meV/atom; crystal system = orthorhombic; energy above the lowest structure with this stoichiometry = 0.069 eV/atom; total magnetic moment = 2.47 μB per formula unit
1.0
-1.5767 -6.6544 1.2709
0.1274 -5.9683 3.2186
-2.5040 0.0561 0.9460
Fe Mg Re
1 1 1
direct
0.0061 0.0061 0.9939
0.3367 0.3367 0.6633
0.6573 0.6573 0.3427



[18]
Ac12Ge5Pb3 | the Alexandria database | GGA-PBE | optimized geometry; ΔH_f (0 K) = -318 meV/atom; crystal system = cubic; total magnetic moment = 0.00 μB per formula unit
1.0
16.4663 0.0000 0.0000
-5.4888 15.5246 0.0000
-5.4888 -7.7623 13.4447
Pb Ge Ac
12 20 48
direct
0.7500 0.3750 0.1250
0.8750 0.7500 0.1250
0.3750 0.7500 0.6250
0.2500 0.1250 0.3750
0.8750 0.1250 0.2500
0.3750 0.6250 0.2500
0.6250 0.3750 0.7500
0.1250 0.8750 0.7500
0.7500 0.8750 0.6250
0.6250 0.2500 0.3750
0.1250 0.2500 0.8750
0.2500 0.6250 0.8750
0.1250 0.3750 0.2500
0.0000 0.5000 0.0000
0.0000 0.0000 0.0000
0.3750 0.2500 0.1250
0.5000 0.0000 0.5000
0.5000 0.5000 0.0000
0.1250 0.7500 0.3750
0.7500 0.1250 0.8750
0.7500 0.6250 0.3750
0.3750 0.1250 0.7500
0.6250 0.8750 0.2500
0.5000 0.5000 0.5000
0.5000 0.0000 0.0000
0.0000 0.0000 0.5000
0.2500 0.3750 0.6250
0.2500 0.8750 0.1250
0.0000 0.5000 0.5000
0.8750 0.2500 0.6250
0.6250 0.7500 0.8750
0.8750 0.6250 0.7500
0.7149 0.1274 0.0420
0.3271 0.5420 0.4145
0.9580 0.3726 0.2851
0.5420 0.2149 0.1274
0.5875 0.7149 0.6729
0.9580 0.5855 0.1729
0.3271 0.7851 0.4125
0.0855 0.9125 0.1274
0.5855 0.9580 0.6729
0.7149 0.5875 0.1729
0.7851 0.4580 0.3726
0.8271 0.9145 0.0420
0.1274 0.7149 0.5420
0.3726 0.4145 0.0875
0.0875 0.9145 0.3726
0.4125 0.1274 0.5855
0.0875 0.1729 0.2149
0.4580 0.6729 0.0855
0.8271 0.9125 0.2851
0.1274 0.4125 0.0855
0.3726 0.9580 0.7851
0.5855 0.6274 0.4125
0.9145 0.8271 0.5420
0.7851 0.3271 0.9125
0.4145 0.3726 0.5875
0.0855 0.1729 0.4580
0.2149 0.6729 0.0875
0.1729 0.0875 0.7149
0.6274 0.0420 0.2149
0.8726 0.5875 0.9145
0.5420 0.3271 0.9145
0.5875 0.8726 0.4145
0.9125 0.8271 0.7851
0.9125 0.0855 0.6274
0.8726 0.2851 0.4580
0.1729 0.0855 0.9580
0.6274 0.5855 0.9125
0.4145 0.0420 0.3271
0.2851 0.4125 0.8271
0.2149 0.5420 0.6274
0.9145 0.0875 0.8726
0.6729 0.2149 0.5875
0.4580 0.7851 0.8726
0.0420 0.4145 0.8271
0.4125 0.2851 0.3271
0.0420 0.6274 0.7149
0.6729 0.4580 0.5855
0.2851 0.8726 0.9580



[19]
CePaAs | the Alexandria database | GGA-PBE | optimized geometry; ΔH_f (0 K) = -233 meV/atom; crystal system = trigonal; energy above the lowest structure with this stoichiometry = 0.162 eV/atom; total magnetic moment = 1.59 μB per formula unit
1.0
3.2983 0.0000 0.0000
0.0000 4.9872 0.0000
0.0000 -2.4936 4.3190
As Pa Ce
1 1 1
direct
0.3116 0.3333 0.6667
0.0667 0.0000 0.0000
0.6217 0.6667 0.3333



[20]
RbPmS2O8 | the Alexandria database | GGA-PBE | optimized geometry; crystal system = trigonal; E_form (uncorrected) = -2.0734 eV per atom; total magnetic moment = 0.00 μB per formula unit
1.0
5.4624 0.0000 0.0000
-2.7312 4.7305 0.0000
0.0000 0.0000 8.5377
Rb Pm S O
1 1 2 8
direct
0.0000 0.0000 0.0000
0.0000 0.0000 0.5000
0.6667 0.3333 0.2674
0.3333 0.6667 0.7326
0.3333 0.6667 0.9032
0.3783 0.2470 0.3302
0.7530 0.1312 0.3302
0.6667 0.3333 0.0968
0.2470 0.8688 0.6698
0.6217 0.7530 0.6698
0.1312 0.3783 0.6698
0.8688 0.6217 0.3302